*P*
Density functional theory data (PBE) for an optimized crystal structure of TlMoS2Cl. Values from VASP.

## Properties
Density of states at the Fermi level: 4.27 states/eV/f.u.
Total moment: 0.000 μB per formula unit

```
&SYSTEM
  ibrav = 0, nat = 5, ntyp = 4
/
ATOMIC_SPECIES
Mo 95.94 Mo.upf
Cl 35.45 Cl.upf
S 32.06 S.upf
Tl 204.38 Tl.upf
CELL_PARAMETERS angstrom
-4.1660 0.3139 -2.1586
1.8485 -1.9624 -3.8530
-1.2731 -4.6857 1.7757
ATOMIC_POSITIONS angstrom
Mo 0.0000 0.0000 0.0000
Cl -0.6365 -2.3428 0.8879
S -2.0830 0.1569 -1.0793
Tl -1.7953 -3.1671 -2.1179
S 0.9243 -0.9812 -1.9265
```


*Q*
Density functional theory data (PBE) for an optimized crystal structure of TlMoS2Cl. Values from VASP.

## Properties
Density of states at the Fermi level: 2.33 states/eV/f.u.
Total moment: 3.911 μB per formula unit

```
&SYSTEM
  ibrav = 0, nat = 5, ntyp = 4
/
ATOMIC_SPECIES
Tl 204.38 Tl.upf
S 32.06 S.upf
Cl 35.45 Cl.upf
Mo 95.94 Mo.upf
CELL_PARAMETERS angstrom
-2.0061 4.6295 0.1906
-2.3140 -1.1801 4.3083
4.0094 1.6303 2.6000
ATOMIC_POSITIONS angstrom
Tl 0.0000 0.0000 0.0000
S 2.0047 0.8152 1.3000
S -1.0030 2.3148 0.0953
Cl -1.1570 -0.5900 2.1542
Mo -0.1554 2.5399 3.5495
```


Sorted by energy, starting with the most stable: *P*, *Q*.